No. 1
{
  "formula": "Ag2HgHAu",
  "functional": "GGA-PBE",
  "state": "optimized geometry",
  "final_energy_ev_per_atom": -2.350,
  "polymorph_energy_mev_per_atom": 0,
  "lattice_angstrom": [[4.451, 0.000, 0.000], [0.000, 4.451, 0.000], [0.000, 0.000, 3.994]],
  "species": ["Ag", "Ag", "Hg", "H", "Au"],
  "frac_coords": [[0.000, 0.500, 0.000], [0.500, 0.000, 0.000], [0.000, 0.000, 0.500], [0.500, 0.500, 0.000], [0.500, 0.500, 0.500]]
}

=====

No. 2
{
  "formula": "CoPBr2",
  "functional": "GGA-PBE",
  "state": "optimized geometry",
  "final_energy_ev_per_atom": -3.295,
  "raw_formation_energy_ev_per_atom": 0.6700,
  "polymorph_energy_mev_per_atom": 1002,
  "lattice_angstrom": [[3.180, -3.509, 0.000], [3.180, 3.509, 0.000], [0.000, 0.000, 3.848]],
  "species": ["Co", "P", "Br", "Br"],
  "frac_coords": [[0.000, 0.000, 0.000], [0.500, 0.500, 0.000], [0.229, 0.771, 0.500], [0.771, 0.229, 0.500]]
}

=====

No. 3
{
  "formula": "CrRhCl2",
  "functional": "GGA-PBE",
  "state": "optimized geometry",
  "final_energy_ev_per_atom": -4.737,
  "raw_formation_energy_ev_per_atom": 0.4300,
  "polymorph_energy_mev_per_atom": 653,
  "lattice_angstrom": [[0.000, 3.229, 3.229], [3.229, 0.000, 3.229], [3.229, 3.229, 0.000]],
  "species": ["Cr", "Rh", "Cl", "Cl"],
  "frac_coords": [[0.000, 0.000, 0.000], [0.750, 0.750, 0.750], [0.250, 0.250, 0.250], [0.500, 0.500, 0.500]]
}

=====

No. 4
{
  "formula": "PrCdSn3",
  "functional": "GGA-PBE",
  "state": "optimized geometry",
  "final_energy_ev_per_atom": -3.896,
  "e_form_mev_per_atom": -355,
  "lattice_angstrom": [[13.308, 0.000, 0.000], [0.000, 6.382, 0.000], [0.000, 0.000, 6.410]],
  "species": ["Pr", "Pr", "Pr", "Pr", "Cd", "Cd", "Cd", "Cd", "Sn", "Sn", "Sn", "Sn", "Sn", "Sn", "Sn", "Sn", "Sn", "Sn", "Sn", "Sn"],
  "frac_coords": [[0.190, 0.006, 0.250], [0.190, 0.494, 0.750], [0.810, 0.506, 0.250], [0.810, 0.994, 0.750], [0.386, 0.250, 0.000], [0.386, 0.250, 0.500], [0.614, 0.750, 0.000], [0.614, 0.750, 0.500], [0.000, 0.250, 0.000], [0.000, 0.250, 0.500], [0.000, 0.750, 0.000], [0.000, 0.750, 0.500], [0.231, 0.510, 0.250], [0.231, 0.990, 0.750], [0.421, 0.697, 0.750], [0.421, 0.803, 0.250], [0.579, 0.197, 0.750], [0.579, 0.303, 0.250], [0.769, 0.010, 0.250], [0.769, 0.490, 0.750]]
}

=====

No. 5
{
  "formula": "U4Ga12Mo",
  "functional": "GGA-PBE",
  "state": "optimized geometry",
  "final_energy_ev_per_atom": -5.644,
  "e_form_mev_per_atom": -215,
  "lattice_angstrom": [[-4.308, 4.308, 4.308], [4.308, -4.308, 4.308], [4.308, 4.308, -4.308]],
  "species": ["U", "U", "U", "U", "Ga", "Ga", "Ga", "Ga", "Ga", "Ga", "Ga", "Ga", "Ga", "Ga", "Ga", "Ga", "Mo"],
  "frac_coords": [[0.000, 0.000, 0.500], [0.000, 0.500, 0.000], [0.500, 0.000, 0.000], [0.500, 0.500, 0.500], [0.000, 0.295, 0.295], [0.000, 0.705, 0.705], [0.250, 0.500, 0.750], [0.250, 0.750, 0.500], [0.295, 0.000, 0.295], [0.295, 0.295, 0.000], [0.500, 0.250, 0.750], [0.500, 0.750, 0.250], [0.705, 0.000, 0.705], [0.705, 0.705, 0.000], [0.750, 0.250, 0.500], [0.750, 0.500, 0.250], [0.000, 0.000, 0.000]]
}

=====

No. 6
{
  "formula": "YSc2Hg",
  "functional": "GGA-PBE",
  "state": "optimized geometry",
  "final_energy_ev_per_atom": -5.055,
  "e_form_mev_per_atom": -198,
  "lattice_angstrom": [[8.869, 0.000, 0.000], [0.000, 7.602, 0.000], [0.000, 0.000, 6.141]],
  "species": ["Y", "Y", "Y", "Y", "Sc", "Sc", "Sc", "Sc", "Sc", "Sc", "Sc", "Sc", "Hg", "Hg", "Hg", "Hg"],
  "frac_coords": [[0.029, 0.250, 0.105], [0.471, 0.750, 0.605], [0.529, 0.250, 0.395], [0.971, 0.750, 0.895], [0.181, 0.044, 0.602], [0.181, 0.456, 0.602], [0.319, 0.544, 0.102], [0.319, 0.956, 0.102], [0.681, 0.044, 0.898], [0.681, 0.456, 0.898], [0.819, 0.544, 0.398], [0.819, 0.956, 0.398], [0.099, 0.750, 0.358], [0.401, 0.250, 0.858], [0.599, 0.750, 0.142], [0.901, 0.250, 0.642]]
}

=====

No. 7
{
  "formula": "SrZn8Ir4",
  "functional": "GGA-PBE",
  "state": "optimized geometry",
  "final_energy_ev_per_atom": -3.920,
  "e_form_mev_per_atom": -280,
  "lattice_angstrom": [[-4.368, 4.368, 2.808], [4.368, -4.368, 2.808], [4.368, 4.368, -2.808]],
  "species": ["Sr", "Zn", "Zn", "Zn", "Zn", "Zn", "Zn", "Zn", "Zn", "Ir", "Ir", "Ir", "Ir"],
  "frac_coords": [[0.000, 0.000, 0.000], [0.000, 0.333, 0.333], [0.000, 0.667, 0.667], [0.266, 0.500, 0.766], [0.333, 0.000, 0.333], [0.500, 0.266, 0.766], [0.500, 0.734, 0.234], [0.667, 0.000, 0.667], [0.734, 0.500, 0.234], [0.000, 0.000, 0.500], [0.000, 0.500, 0.000], [0.500, 0.000, 0.000], [0.500, 0.500, 0.500]]
}

=====

No. 8
{
  "formula": "LiZrAs2",
  "functional": "GGA-PBE",
  "state": "optimized geometry",
  "final_energy_ev_per_atom": -5.597,
  "e_form_mev_per_atom": -656,
  "polymorph_energy_mev_per_atom": 154,
  "lattice_angstrom": [[3.809, 0.000, 0.000], [0.000, 3.809, 0.000], [0.000, 0.000, 5.413]],
  "species": ["Li", "Zr", "As", "As"],
  "frac_coords": [[0.000, 0.000, 0.000], [0.500, 0.500, 0.390], [0.000, 0.000, 0.493], [0.500, 0.500, 0.908]]
}